A geometry-optimized InCoAs4 structure, computed with PBE.

Output
V, A^3/atom: 20.7
Total energy, eV per atom: -4.116
Size of the total moment, Bohr magnetons per cell: 8.64

a = 7.9163 Å, b = 7.9163 Å, c = 7.9163 Å
α = 90.00°, β = 90.00°, γ = 90.00°
Space group F-43m (No. 216)
Unique sites:
In1 0.0000 0.0000 0.0000 (multiplicity 4)
Co1 0.2500 0.2500 0.2500 (multiplicity 4)
As1 0.1244 0.1244 0.6244 (multiplicity 16)

A geometry-optimized Dy2AlHg structure, computed with PBE.

Output
V, A^3/atom: 24.6
Total energy, eV per atom: -3.747
Size of the total moment, Bohr magnetons per cell: 0.00

a = 3.5993 Å, b = 3.5993 Å, c = 7.5936 Å
α = 90.00°, β = 90.00°, γ = 90.00°
Space group P4/mmm (No. 123)
Unique sites:
Dy1 0.0000 0.0000 0.2398 (multiplicity 2)
Al1 0.5000 0.5000 0.0000 (multiplicity 1)
Hg1 0.5000 0.5000 0.5000 (multiplicity 1)

no.,E_form (eV per atom)
1,0.624
2,-0.435